Entry from Alexandria via LeMat-Bulk: an optimized crystal structure of Pa2CrSi4Ir3 (PBE).

Lattice parameters (Å, degrees): 4.1051 4.1051 9.9784 90.00 90.00 90.00
Last column: nearest neighbours and their distance in Å.
Element x y z (fractional)
Pa  0.0000  0.5000  0.2491  8 Si 3.12-3.24, 6 Ir 3.15-3.22, 2 Cr 3.22
Pa  0.5000  0.0000  0.7509  8 Si 3.12-3.24, 6 Ir 3.15-3.22, 2 Cr 3.22
Cr  0.5000  0.5000  0.0000  4 Si 2.45
Si  0.0000  0.0000  0.5000  4 Ir 2.42
Si  0.0000  0.5000  0.8664  3 Ir 2.38-2.45, 2 Cr 2.45
Si  0.5000  0.0000  0.1336  3 Ir 2.38-2.45, 2 Cr 2.45
Si  0.5000  0.5000  0.5000  4 Ir 2.42
Ir  0.0000  0.0000  0.0000  4 Si 2.45
Ir  0.0000  0.5000  0.6275  5 Si 2.38-2.42
Ir  0.5000  0.0000  0.3725  5 Si 2.38-2.42

DOS(E_F): 0.402 states/eV/atom
SG: P-4m2, No. 115
raw total energy: -8.549 eV/atom